Tl2In3Pb2 | PBE-GGA | optimized geometry

Values from the calculation:
Offset from the most stable computed form   35 meV per atom
Energy   -2.865 eV/atom

Unit cell a=5.4439 b=3.2620 c=12.1610 alpha=90.00 beta=102.72 gamma=90.00
Element x y z (fractional)
Tl  0.0734  0.0000  0.1452
Tl  0.9266  0.0000  0.8548
In  0.2152  0.5000  0.4308
In  0.5000  0.5000  0.0000
In  0.7848  0.5000  0.5692
Pb  0.3596  0.5000  0.7177
Pb  0.6404  0.5000  0.2823



CsPb2 | PBE-GGA | optimized geometry

Values from the calculation:
Energy   -2.897 eV/atom

Unit cell a=7.2864 b=7.2864 c=7.2864 alpha=135.92 beta=101.71 gamma=94.52
Element x y z (fractional)
Cs  0.3260  0.0760  0.2500
Cs  0.6740  0.9240  0.7500
Pb  0.0816  0.6593  0.4223
Pb  0.2630  0.3407  0.9223
Pb  0.7370  0.6593  0.0777
Pb  0.9184  0.3407  0.5777



ReTe3N | PBE-GGA | optimized geometry

Values from the calculation:
Offset from the most stable computed form   0 meV per atom
Formation energy (no corrections)   1.33 eV/atom
Energy   -4.706 eV/atom

Unit cell a=4.5938 b=4.5938 c=4.5938 alpha=90.00 beta=90.00 gamma=90.00
Element x y z (fractional)
Re  0.0000  0.0000  0.0000
Te  0.0000  0.5000  0.5000
Te  0.5000  0.0000  0.5000
Te  0.5000  0.5000  0.0000
N  0.5000  0.5000  0.5000



SrLiSeF | PBE-GGA | optimized geometry

Values from the calculation:
Formation energy (no corrections)   -2.48 eV/atom
Energy   -4.713 eV/atom

Unit cell a=4.1307 b=4.1307 c=9.1529 alpha=90.00 beta=90.00 gamma=90.00
Element x y z (fractional)
Sr  0.2500  0.2500  0.1551
Sr  0.7500  0.7500  0.8449
Li  0.2500  0.7500  0.5000
Li  0.7500  0.2500  0.5000
Se  0.2500  0.2500  0.6688
Se  0.7500  0.7500  0.3312
F  0.2500  0.7500  0.0000
F  0.7500  0.2500  0.0000



ScPd2Rh2 | PBE-GGA | optimized geometry

Values from the calculation:
Offset from the most stable computed form   110 meV per atom
Energy   -6.439 eV/atom

Unit cell a=6.7405 b=6.7405 c=6.7405 alpha=147.80 beta=147.80 gamma=46.18
Element x y z (fractional)
Sc  0.0000  0.0000  0.0000
Pd  0.2500  0.7500  0.5000
Pd  0.7500  0.2500  0.5000
Rh  0.4036  0.4036  0.0000
Rh  0.5964  0.5964  0.0000



Pr2Ho7Th2 | PBE-GGA | optimized geometry

Values from the calculation:
Offset from the most stable computed form   5 meV per atom
Energy   -4.946 eV/atom

Unit cell a=8.0226 b=8.0226 c=6.1356 alpha=106.23 beta=106.23 gamma=91.89
Element x y z (fractional)
Pr  0.2128  0.7872  0.0000
Pr  0.7872  0.2128  0.0000
Ho  0.0000  0.0000  0.5000
Ho  0.0682  0.5898  0.3320
Ho  0.2458  0.2458  0.0769
Ho  0.4102  0.9318  0.6680
Ho  0.5898  0.0682  0.3320
Ho  0.7542  0.7542  0.9231
Ho  0.9318  0.4102  0.6680
Th  0.4068  0.4068  0.6857
Th  0.5932  0.5932  0.3143



CoGeB2N | PBE-GGA | optimized geometry

Values from the calculation:
Formation energy (no corrections)   1.28 eV/atom
Energy   -5.401 eV/atom

Unit cell a=3.2241 b=3.2241 c=4.8026 alpha=90.00 beta=90.00 gamma=90.00
Element x y z (fractional)
Co  0.0000  0.0000  0.0000
Ge  0.5000  0.5000  0.0000
B  0.0000  0.5000  0.5000
B  0.5000  0.0000  0.5000
N  0.5000  0.5000  0.5000



ZrTaIn2 | PBE-GGA | optimized geometry

Values from the calculation:
Offset from the most stable computed form   210 meV per atom
Energy   -6.289 eV/atom

Unit cell a=10.3882 b=10.3882 c=10.3882 alpha=17.70 beta=17.70 gamma=17.70
Element x y z (fractional)
Zr  0.0000  0.0000  0.0000
Ta  0.7434  0.7434  0.7434
In  0.2470  0.2470  0.2470
In  0.4899  0.4899  0.4899



CrTeI | PBE-GGA | optimized geometry

Values from the calculation:
Formation energy (no corrections)   -0.30 eV/atom
Energy   -5.076 eV/atom

Unit cell a=3.9355 b=5.4401 c=9.5323 alpha=90.00 beta=90.10 gamma=90.00
Element x y z (fractional)
Cr  0.2492  0.2500  0.3710
Cr  0.7508  0.7500  0.6290
Te  0.2498  0.7500  0.4308
Te  0.7502  0.2500  0.5692
I  0.2516  0.7500  0.8287
I  0.7484  0.2500  0.1713



KSrH4Pt | PBE-GGA | optimized geometry

Values from the calculation:
Energy   -3.620 eV/atom

Unit cell a=5.5560 b=5.5624 c=8.5526 alpha=90.00 beta=105.52 gamma=90.00
Element x y z (fractional)
K  0.2128  0.2500  0.4432
K  0.7872  0.7500  0.5568
Sr  0.2334  0.2500  0.9612
Sr  0.7666  0.7500  0.0388
H  0.2831  0.7500  0.9988
H  0.2955  0.7500  0.3908
H  0.3921  0.0430  0.2235
H  0.3921  0.4570  0.2235
H  0.6079  0.5430  0.7765
H  0.6079  0.9570  0.7765
H  0.7045  0.2500  0.6092
H  0.7169  0.2500  0.0012
Pt  0.3281  0.7500  0.2032
Pt  0.6719  0.2500  0.7968



Ag8PtAu6 | PBE-GGA | optimized geometry

Values from the calculation:
Offset from the most stable computed form   0 meV per atom
Energy   -3.205 eV/atom

Unit cell a=7.3035 b=7.3035 c=7.3035 alpha=59.40 beta=59.40 gamma=59.40
Element x y z (fractional)
Ag  0.0783  0.0783  0.0783
Ag  0.1662  0.6180  0.3121
Ag  0.3121  0.1662  0.6180
Ag  0.3820  0.6879  0.8338
Ag  0.6180  0.3121  0.1662
Ag  0.6879  0.8338  0.3820
Ag  0.8338  0.3820  0.6879
Ag  0.9217  0.9217  0.9217
Pt  0.5000  0.5000  0.5000
Au  0.0383  0.5713  0.7664
Au  0.2336  0.9617  0.4287
Au  0.4287  0.2336  0.9617
Au  0.5713  0.7664  0.0383
Au  0.7664  0.0383  0.5713
Au  0.9617  0.4287  0.2336